Arrangement A

Computed, not measured: a PBEsol-optimized structure of LaOsCl2 at the meta-GGA SCAN level of DFT.

Structure (CIF):
```
data_LaOsCl2
_cell_length_a 12.206
_cell_length_b 3.553
_cell_length_c 4.634
_cell_angle_alpha 90.00
_cell_angle_beta 90.60
_cell_angle_gamma 90.00
_space_group_name_H-M_alt 'P 1'
_space_group_IT_number 1
_space_group_name_Hall 'P 1'
loop_
_atom_site_label
_atom_site_type_symbol
_atom_site_fract_x
_atom_site_fract_y
_atom_site_fract_z
La1 La 0.000 0.000 0.000
La2 La 0.500 0.500 0.000
Os1 Os 0.000 0.500 0.500
Os2 Os 0.500 0.000 0.500
Cl1 Cl 0.165 0.500 0.757
Cl2 Cl 0.335 0.000 0.243
Cl3 Cl 0.665 0.000 0.757
Cl4 Cl 0.835 0.500 0.243
```



Arrangement B

Computed, not measured: a PBEsol-optimized structure of LaOsCl2 at the meta-GGA SCAN level of DFT.

Structure (CIF):
```
data_LaOsCl2
_cell_length_a 3.261
_cell_length_b 3.261
_cell_length_c 8.331
_cell_angle_alpha 90.00
_cell_angle_beta 90.00
_cell_angle_gamma 90.00
_space_group_name_H-M_alt 'P 1'
_space_group_IT_number 1
_space_group_name_Hall 'P 1'
loop_
_atom_site_label
_atom_site_type_symbol
_atom_site_fract_x
_atom_site_fract_y
_atom_site_fract_z
La1 La 0.000 0.000 0.000
Os1 Os 0.500 0.500 0.249
Cl1 Cl 0.000 0.000 0.413
Cl2 Cl 0.500 0.500 0.779
```



Decreasing stability: arrangement A, arrangement B



Arrangement A

Computed, not measured: a PBEsol-optimized structure of La2OsCl at the meta-GGA SCAN level of DFT.

Structure (CIF):
```
data_La2OsCl
_cell_length_a 3.386
_cell_length_b 3.386
_cell_length_c 8.092
_cell_angle_alpha 90.00
_cell_angle_beta 90.00
_cell_angle_gamma 90.00
_space_group_name_H-M_alt 'P 1'
_space_group_IT_number 1
_space_group_name_Hall 'P 1'
loop_
_atom_site_label
_atom_site_type_symbol
_atom_site_fract_x
_atom_site_fract_y
_atom_site_fract_z
La1 La 0.000 0.000 0.221
La2 La 0.000 0.000 0.779
Os1 Os 0.500 0.500 0.000
Cl1 Cl 0.500 0.500 0.500
```



Arrangement B

Computed, not measured: a PBEsol-optimized structure of La2OsCl at the meta-GGA SCAN level of DFT.

Structure (CIF):
```
data_La2OsCl
_cell_length_a 4.154
_cell_length_b 4.154
_cell_length_c 5.716
_cell_angle_alpha 90.00
_cell_angle_beta 90.00
_cell_angle_gamma 90.00
_space_group_name_H-M_alt 'P 1'
_space_group_IT_number 1
_space_group_name_Hall 'P 1'
loop_
_atom_site_label
_atom_site_type_symbol
_atom_site_fract_x
_atom_site_fract_y
_atom_site_fract_z
La1 La 0.000 0.000 0.000
La2 La 0.500 0.500 0.500
Os1 Os 0.000 0.000 0.500
Cl1 Cl 0.500 0.500 0.000
```



Arrangement C

Computed, not measured: a PBEsol-optimized structure of La2OsCl at the meta-GGA SCAN level of DFT.

Structure (CIF):
```
data_La2OsCl
_cell_length_a 4.117
_cell_length_b 4.117
_cell_length_c 22.105
_cell_angle_alpha 90.00
_cell_angle_beta 90.00
_cell_angle_gamma 120.00
_space_group_name_H-M_alt 'P 1'
_space_group_IT_number 1
_space_group_name_Hall 'P 1'
loop_
_atom_site_label
_atom_site_type_symbol
_atom_site_fract_x
_atom_site_fract_y
_atom_site_fract_z
La1 La 0.000 0.000 0.236
La2 La 0.000 0.000 0.764
La3 La 0.333 0.667 0.431
La4 La 0.333 0.667 0.902
La5 La 0.667 0.333 0.098
La6 La 0.667 0.333 0.569
Os1 Os 0.000 0.000 0.500
Os2 Os 0.333 0.667 0.167
Os3 Os 0.667 0.333 0.833
Cl1 Cl 0.000 0.000 0.000
Cl2 Cl 0.333 0.667 0.667
Cl3 Cl 0.667 0.333 0.333
```



Decreasing stability: arrangement C, arrangement A, arrangement B



Arrangement A

Computed, not measured: a PBEsol-optimized structure of LaPCl at the meta-GGA SCAN level of DFT.

Structure (CIF):
```
data_LaPCl
_cell_length_a 3.449
_cell_length_b 3.449
_cell_length_c 12.455
_cell_angle_alpha 90.00
_cell_angle_beta 90.00
_cell_angle_gamma 90.00
_space_group_name_H-M_alt 'P 1'
_space_group_IT_number 1
_space_group_name_Hall 'P 1'
loop_
_atom_site_label
_atom_site_type_symbol
_atom_site_fract_x
_atom_site_fract_y
_atom_site_fract_z
La1 La 0.000 0.000 0.000
La2 La 0.500 0.500 0.500
P1 P 0.000 0.000 0.644
P2 P 0.500 0.500 0.144
Cl1 Cl 0.000 0.000 0.363
Cl2 Cl 0.500 0.500 0.863
```



Arrangement B

Computed, not measured: a PBEsol-optimized structure of LaPCl at the meta-GGA SCAN level of DFT.

Structure (CIF):
```
data_LaPCl
_cell_length_a 6.836
_cell_length_b 6.836
_cell_length_c 6.836
_cell_angle_alpha 90.00
_cell_angle_beta 90.00
_cell_angle_gamma 90.00
_space_group_name_H-M_alt 'P 1'
_space_group_IT_number 1
_space_group_name_Hall 'P 1'
loop_
_atom_site_label
_atom_site_type_symbol
_atom_site_fract_x
_atom_site_fract_y
_atom_site_fract_z
La1 La 0.000 0.000 0.000
La2 La 0.000 0.500 0.500
La3 La 0.500 0.000 0.500
La4 La 0.500 0.500 0.000
P1 P 0.250 0.250 0.250
P2 P 0.250 0.750 0.750
P3 P 0.750 0.250 0.750
P4 P 0.750 0.750 0.250
Cl1 Cl 0.250 0.250 0.750
Cl2 Cl 0.250 0.750 0.250
Cl3 Cl 0.750 0.250 0.250
Cl4 Cl 0.750 0.750 0.750
```



Decreasing stability: arrangement B, arrangement A



Arrangement A

Computed, not measured: a PBEsol-optimized structure of LaP2Cl at the meta-GGA SCAN level of DFT.

Structure (CIF):
```
data_LaP2Cl
_cell_length_a 4.091
_cell_length_b 4.091
_cell_length_c 20.146
_cell_angle_alpha 90.00
_cell_angle_beta 90.00
_cell_angle_gamma 120.00
_space_group_name_H-M_alt 'P 1'
_space_group_IT_number 1
_space_group_name_Hall 'P 1'
loop_
_atom_site_label
_atom_site_type_symbol
_atom_site_fract_x
_atom_site_fract_y
_atom_site_fract_z
La1 La 0.000 0.000 0.000
La2 La 0.333 0.667 0.667
La3 La 0.667 0.333 0.333
P1 P 0.000 0.000 0.243
P2 P 0.000 0.000 0.559
P3 P 0.333 0.667 0.226
P4 P 0.333 0.667 0.910
P5 P 0.667 0.333 0.576
P6 P 0.667 0.333 0.892
Cl1 Cl 0.000 0.000 0.749
Cl2 Cl 0.333 0.667 0.416
Cl3 Cl 0.667 0.333 0.083
```



Arrangement B

Computed, not measured: a PBEsol-optimized structure of LaP2Cl at the meta-GGA SCAN level of DFT.

Structure (CIF):
```
data_LaP2Cl
_cell_length_a 6.911
_cell_length_b 6.911
_cell_length_c 6.911
_cell_angle_alpha 90.00
_cell_angle_beta 90.00
_cell_angle_gamma 90.00
_space_group_name_H-M_alt 'P 1'
_space_group_IT_number 1
_space_group_name_Hall 'P 1'
loop_
_atom_site_label
_atom_site_type_symbol
_atom_site_fract_x
_atom_site_fract_y
_atom_site_fract_z
La1 La 0.000 0.000 0.000
La2 La 0.000 0.500 0.500
La3 La 0.500 0.000 0.500
La4 La 0.500 0.500 0.000
P1 P 0.000 0.000 0.500
P2 P 0.000 0.500 0.000
P3 P 0.250 0.250 0.250
P4 P 0.250 0.750 0.750
P5 P 0.500 0.000 0.000
P6 P 0.500 0.500 0.500
P7 P 0.750 0.250 0.750
P8 P 0.750 0.750 0.250
Cl1 Cl 0.250 0.250 0.750
Cl2 Cl 0.250 0.750 0.250
Cl3 Cl 0.750 0.250 0.250
Cl4 Cl 0.750 0.750 0.750
```



Decreasing stability: arrangement A, arrangement B



Arrangement A

Computed, not measured: a PBEsol-optimized structure of RbLaPCl2 at the meta-GGA SCAN level of DFT.

Structure (CIF):
```
data_RbLaPCl2
_cell_length_a 5.589
_cell_length_b 5.589
_cell_length_c 5.374
_cell_angle_alpha 90.00
_cell_angle_beta 90.00
_cell_angle_gamma 90.00
_space_group_name_H-M_alt 'P 1'
_space_group_IT_number 1
_space_group_name_Hall 'P 1'
loop_
_atom_site_label
_atom_site_type_symbol
_atom_site_fract_x
_atom_site_fract_y
_atom_site_fract_z
Rb1 Rb 0.000 0.000 0.000
La1 La 0.500 0.500 0.500
P1 P 0.500 0.500 0.000
Cl1 Cl 0.000 0.500 0.500
Cl2 Cl 0.500 0.000 0.500
```



Arrangement B

Computed, not measured: a PBEsol-optimized structure of RbLaPCl2 at the meta-GGA SCAN level of DFT.

Structure (CIF):
```
data_RbLaPCl2
_cell_length_a 5.345
_cell_length_b 5.345
_cell_length_c 5.502
_cell_angle_alpha 90.00
_cell_angle_beta 90.00
_cell_angle_gamma 90.00
_space_group_name_H-M_alt 'P 1'
_space_group_IT_number 1
_space_group_name_Hall 'P 1'
loop_
_atom_site_label
_atom_site_type_symbol
_atom_site_fract_x
_atom_site_fract_y
_atom_site_fract_z
Rb1 Rb 0.000 0.000 0.000
La1 La 0.500 0.500 0.500
P1 P 0.000 0.000 0.500
Cl1 Cl 0.000 0.500 0.000
Cl2 Cl 0.500 0.000 0.000
```



Decreasing stability: arrangement A, arrangement B



Arrangement A

Computed, not measured: a PBEsol-optimized structure of La2PtCl at the meta-GGA SCAN level of DFT.

Structure (CIF):
```
data_La2PtCl
_cell_length_a 7.311
_cell_length_b 7.330
_cell_length_c 3.449
_cell_angle_alpha 90.00
_cell_angle_beta 90.26
_cell_angle_gamma 90.00
_space_group_name_H-M_alt 'P 1'
_space_group_IT_number 1
_space_group_name_Hall 'P 1'
loop_
_atom_site_label
_atom_site_type_symbol
_atom_site_fract_x
_atom_site_fract_y
_atom_site_fract_z
La1 La 0.250 0.250 0.000
La2 La 0.250 0.750 0.000
La3 La 0.750 0.250 0.000
La4 La 0.750 0.750 0.000
Pt1 Pt 0.000 0.000 0.500
Pt2 Pt 0.500 0.500 0.500
Cl1 Cl 0.000 0.500 0.500
Cl2 Cl 0.500 0.000 0.500
```



Arrangement B

Computed, not measured: a PBEsol-optimized structure of La2PtCl at the meta-GGA SCAN level of DFT.

Structure (CIF):
```
data_La2PtCl
_cell_length_a 4.134
_cell_length_b 4.134
_cell_length_c 6.022
_cell_angle_alpha 90.00
_cell_angle_beta 90.00
_cell_angle_gamma 90.00
_space_group_name_H-M_alt 'P 1'
_space_group_IT_number 1
_space_group_name_Hall 'P 1'
loop_
_atom_site_label
_atom_site_type_symbol
_atom_site_fract_x
_atom_site_fract_y
_atom_site_fract_z
La1 La 0.000 0.000 0.000
La2 La 0.500 0.500 0.500
Pt1 Pt 0.000 0.000 0.500
Cl1 Cl 0.500 0.500 0.000
```



Arrangement C

Computed, not measured: a PBEsol-optimized structure of La2PtCl at the meta-GGA SCAN level of DFT.

Structure (CIF):
```
data_La2PtCl
_cell_length_a 4.190
_cell_length_b 4.190
_cell_length_c 21.774
_cell_angle_alpha 90.00
_cell_angle_beta 90.00
_cell_angle_gamma 120.00
_space_group_name_H-M_alt 'P 1'
_space_group_IT_number 1
_space_group_name_Hall 'P 1'
loop_
_atom_site_label
_atom_site_type_symbol
_atom_site_fract_x
_atom_site_fract_y
_atom_site_fract_z
La1 La 0.000 0.000 0.240
La2 La 0.000 0.000 0.760
La3 La 0.333 0.667 0.427
La4 La 0.333 0.667 0.906
La5 La 0.667 0.333 0.094
La6 La 0.667 0.333 0.573
Pt1 Pt 0.000 0.000 0.500
Pt2 Pt 0.333 0.667 0.167
Pt3 Pt 0.667 0.333 0.833
Cl1 Cl 0.000 0.000 0.000
Cl2 Cl 0.333 0.667 0.667
Cl3 Cl 0.667 0.333 0.333
```



Decreasing stability: arrangement C, arrangement B, arrangement A